## Nd2P3Pt9 (PBE)

Data for a relaxed Nd2P3Pt9 crystal. Values from VASP.

Properties
DFT formation energy, eV/atom: -0.6636
M_tot, μB/f.u.: 0.00
V, Å³ per cell: 477.8
Uncorrected energy, eV per formula unit: -89.422

```
&SYSTEM
  ibrav = 0, nat = 28, ntyp = 3
/
ATOMIC_SPECIES
Nd 144.24 Nd.upf
P 30.97 P.upf
Pt 195.08 Pt.upf
ATOMIC_POSITIONS crystal
Nd 0.0920 0.2551 0.2468
Nd 0.2551 0.0920 0.7468
Nd 0.7449 0.9080 0.2532
Nd 0.9080 0.7449 0.7532
P 0.0000 0.5000 0.0000
P 0.1237 0.6784 0.5080
P 0.3216 0.8763 0.9920
P 0.5000 0.0000 0.5000
P 0.6784 0.1237 0.0080
P 0.8763 0.3216 0.4920
Pt 0.0004 0.1303 0.9183
Pt 0.9996 0.8697 0.0817
Pt 0.1303 0.0004 0.4183
Pt 0.1982 0.3618 0.5777
Pt 0.2175 0.5933 0.2855
Pt 0.2890 0.4944 0.9393
Pt 0.3597 0.6403 0.7500
Pt 0.3618 0.1982 0.0777
Pt 0.4067 0.7825 0.2145
Pt 0.4944 0.2890 0.4393
Pt 0.5056 0.7110 0.5607
Pt 0.5933 0.2175 0.7855
Pt 0.6382 0.8018 0.9223
Pt 0.6403 0.3597 0.2500
Pt 0.7110 0.5056 0.0607
Pt 0.7825 0.4067 0.7145
Pt 0.8018 0.6382 0.4223
Pt 0.8697 0.9996 0.5817
CELL_PARAMETERS angstrom
6.8754 -3.9210 0.0000
6.8754 3.9210 0.0000
-4.6781 0.0000 8.8624
```